(1)
Here is a relaxed Er4Tl3Zn crystal from the Alexandria database. Energies are from PBE-GGA.

Unit cell a=3.623 b=3.623 c=15.574 alpha=90.00 beta=90.00 gamma=90.00
Fractional positions:
Er (0.000, 0.000, 0.109)
Er (0.000, 0.000, 0.369)
Er (0.000, 0.000, 0.631)
Er (0.000, 0.000, 0.891)
Tl (0.500, 0.500, 0.237)
Tl (0.500, 0.500, 0.500)
Tl (0.500, 0.500, 0.763)
Zn (0.500, 0.500, 0.000)

Total magnetic moment, μB/f.u.: 0.22
Formation enthalpy at 0 K, meV/atom: -331
Uncorrected energy, eV/atom: -3.659
Energy above the most stable polymorph in this dataset, meV/atom: 0



(2)
Here is a relaxed Cd2CoAg crystal from the Alexandria database. Energies are from PBE-GGA.

Unit cell a=4.629 b=4.629 c=4.629 alpha=60.00 beta=60.00 gamma=60.00
Fractional positions:
Cd (0.000, 0.000, 0.000)
Cd (0.250, 0.250, 0.250)
Co (0.500, 0.500, 0.500)
Ag (0.750, 0.750, 0.750)

Total magnetic moment, μB/f.u.: 1.32
Formation enthalpy at 0 K, meV/atom: 299
Uncorrected energy, eV/atom: -2.648



(3)
Here is a relaxed CeSmTm3 crystal from the Alexandria database. Energies are from PBE-GGA.

Unit cell a=6.289 b=6.289 c=11.048 alpha=90.00 beta=90.00 gamma=129.00
Fractional positions:
Ce (0.130, 0.870, 0.000)
Ce (0.870, 0.130, 0.000)
Sm (0.154, 0.846, 0.500)
Sm (0.846, 0.154, 0.500)
Tm (0.000, 0.000, 0.254)
Tm (0.000, 0.000, 0.746)
Tm (0.337, 0.663, 0.232)
Tm (0.337, 0.663, 0.768)
Tm (0.663, 0.337, 0.232)
Tm (0.663, 0.337, 0.768)

Total magnetic moment, μB/f.u.: 1.25
Formation enthalpy at 0 K, meV/atom: 414
Uncorrected energy, eV/atom: -4.400
Energy above the most stable polymorph in this dataset, meV/atom: 367



(4)
Here is a relaxed SrMgSi2O6 crystal from the Alexandria database. Energies are from PBE-GGA.

Unit cell a=7.298 b=7.298 c=5.653 alpha=104.87 beta=104.87 gamma=90.03
Fractional positions:
Sr (0.114, 0.886, 0.750)
Sr (0.886, 0.114, 0.250)
Mg (0.241, 0.759, 0.250)
Mg (0.759, 0.241, 0.750)
Si (0.218, 0.379, 0.824)
Si (0.379, 0.218, 0.324)
Si (0.621, 0.782, 0.676)
Si (0.782, 0.621, 0.176)
O (0.026, 0.233, 0.708)
O (0.184, 0.602, 0.903)
O (0.233, 0.026, 0.208)
O (0.328, 0.340, 0.591)
O (0.340, 0.328, 0.091)
O (0.398, 0.816, 0.597)
O (0.602, 0.184, 0.403)
O (0.660, 0.672, 0.909)
O (0.672, 0.660, 0.409)
O (0.767, 0.974, 0.792)
O (0.816, 0.398, 0.097)
O (0.974, 0.767, 0.292)

Total magnetic moment, μB/f.u.: 0.00
Uncorrected energy, eV/atom: -7.217
Energy relative to the elements, uncorrected, meV per atom: -2830



(5)
Here is a relaxed SiP2Ru crystal from the Alexandria database. Energies are from PBE-GGA.

Unit cell a=2.778 b=2.778 c=8.745 alpha=90.00 beta=90.00 gamma=119.63
Fractional positions:
Si (0.000, 0.000, 0.000)
P (0.500, 0.500, 0.275)
P (0.500, 0.500, 0.725)
Ru (0.000, 0.000, 0.500)

Total magnetic moment, μB/f.u.: 0.00
Uncorrected energy, eV/atom: -6.009
Energy relative to the elements, uncorrected, meV per atom: 370



(6)
Here is a relaxed VAg3Os crystal from the Alexandria database. Energies are from PBE-GGA.

Unit cell a=5.026 b=5.026 c=5.026 alpha=90.00 beta=90.00 gamma=90.00
Fractional positions:
V (0.000, 0.000, 0.000)
Ag (0.000, 0.500, 0.500)
Ag (0.500, 0.000, 0.500)
Ag (0.500, 0.500, 0.000)
Os (0.500, 0.500, 0.500)

Total magnetic moment, μB/f.u.: 1.49
Formation enthalpy at 0 K, meV/atom: 1785
Uncorrected energy, eV/atom: -3.995
Energy above the most stable polymorph in this dataset, meV/atom: 0



(7)
Here is a relaxed TiCu2AsPb crystal from the Alexandria database. Energies are from PBE-GGA.

Unit cell a=4.833 b=4.833 c=4.827 alpha=90.00 beta=90.00 gamma=90.00
Fractional positions:
Ti (0.000, 0.000, 0.000)
Cu (0.000, 0.500, 0.000)
Cu (0.500, 0.000, 0.000)
As (0.000, 0.000, 0.500)
Pb (0.500, 0.500, 0.500)

Total magnetic moment, μB/f.u.: 0.50
Formation enthalpy at 0 K, meV/atom: 484
Uncorrected energy, eV/atom: -4.405



(8)
Here is a relaxed Ce2YPb9 crystal from the Alexandria database. Energies are from PBE-GGA.

Unit cell a=4.907 b=4.907 c=14.684 alpha=90.00 beta=90.00 gamma=90.00
Fractional positions:
Ce (0.000, 0.000, 0.165)
Ce (0.000, 0.000, 0.835)
Y (0.000, 0.000, 0.500)
Pb (0.000, 0.500, 0.000)
Pb (0.000, 0.500, 0.335)
Pb (0.000, 0.500, 0.665)
Pb (0.500, 0.000, 0.000)
Pb (0.500, 0.000, 0.335)
Pb (0.500, 0.000, 0.665)
Pb (0.500, 0.500, 0.167)
Pb (0.500, 0.500, 0.500)
Pb (0.500, 0.500, 0.833)

Total magnetic moment, μB/f.u.: 2.02
Formation enthalpy at 0 K, meV/atom: -330
Uncorrected energy, eV/atom: -4.639



(9)
Here is a relaxed MgPdSe crystal from the Alexandria database. Energies are from PBE-GGA.

Unit cell a=4.087 b=4.406 c=7.729 alpha=78.84 beta=76.48 gamma=65.75
Fractional positions:
Mg (0.000, 0.000, 0.000)
Mg (0.445, 0.588, 0.574)
Pd (0.588, 0.600, 0.151)
Pd (0.862, 0.921, 0.364)
Se (0.204, 0.299, 0.378)
Se (0.807, 0.637, 0.819)

Total magnetic moment, μB/f.u.: 0.00
Uncorrected energy, eV/atom: -4.038
Energy relative to the elements, uncorrected, meV per atom: -614



(10)
Here is a relaxed Li4Sn3Pb crystal from the Alexandria database. Energies are from PBE-GGA.

Unit cell a=9.693 b=7.171 c=4.846 alpha=90.00 beta=90.00 gamma=90.00
Fractional positions:
Li (0.000, 0.245, 0.000)
Li (0.000, 0.755, 0.000)
Li (0.250, 0.245, 0.498)
Li (0.250, 0.755, 0.498)
Li (0.500, 0.245, 0.000)
Li (0.500, 0.755, 0.000)
Li (0.750, 0.245, 0.502)
Li (0.750, 0.755, 0.502)
Sn (0.000, 0.000, 0.500)
Sn (0.250, 0.000, 0.998)
Sn (0.250, 0.500, 0.999)
Sn (0.500, 0.000, 0.500)
Sn (0.750, 0.000, 0.002)
Sn (0.750, 0.500, 0.001)
Pb (0.000, 0.500, 0.500)
Pb (0.500, 0.500, 0.500)

Total magnetic moment, μB/f.u.: 0.00
Formation enthalpy at 0 K, meV/atom: -303
Uncorrected energy, eV/atom: -3.224



(11)
Here is a relaxed SiRh2Br crystal from the Alexandria database. Energies are from PBE-GGA.

Unit cell a=3.804 b=4.068 c=5.692 alpha=90.00 beta=90.31 gamma=90.00
Fractional positions:
Si (0.000, 0.000, 0.000)
Rh (0.001, 0.500, 0.184)
Rh (0.502, 0.000, 0.247)
Br (0.504, 0.500, 0.511)

Total magnetic moment, μB/f.u.: 0.00
Uncorrected energy, eV/atom: -5.470
Energy above the most stable polymorph in this dataset, meV/atom: 306
Energy relative to the elements, uncorrected, meV per atom: -20



(12)
Here is a relaxed ScAl2Fe2 crystal from the Alexandria database. Energies are from PBE-GGA.

Unit cell a=7.200 b=7.200 c=2.757 alpha=90.00 beta=90.00 gamma=90.00
Fractional positions:
Sc (0.000, 0.000, 0.000)
Sc (0.500, 0.500, 0.000)
Al (0.129, 0.371, 0.000)
Al (0.371, 0.871, 0.000)
Al (0.629, 0.129, 0.000)
Al (0.871, 0.629, 0.000)
Fe (0.166, 0.666, 0.500)
Fe (0.334, 0.166, 0.500)
Fe (0.666, 0.834, 0.500)
Fe (0.834, 0.334, 0.500)

Total magnetic moment, μB/f.u.: 1.96
Formation enthalpy at 0 K, meV/atom: -236
Uncorrected energy, eV/atom: -6.384
Energy above the most stable polymorph in this dataset, meV/atom: 0



(13)
Here is a relaxed NpAlZnGe crystal from the Alexandria database. Energies are from PBE-GGA.

Unit cell a=4.742 b=4.742 c=4.742 alpha=60.00 beta=60.00 gamma=60.00
Fractional positions:
Np (0.000, 0.000, 0.000)
Al (0.500, 0.500, 0.500)
Zn (0.750, 0.750, 0.750)
Ge (0.250, 0.250, 0.250)

Total magnetic moment, μB/f.u.: 3.81
Formation enthalpy at 0 K, meV/atom: 23
Uncorrected energy, eV/atom: -5.620



(14)
Here is a relaxed Ir3Cl crystal from the Alexandria database. Energies are from PBE-GGA.

Unit cell a=6.232 b=6.232 c=3.713 alpha=90.00 beta=90.00 gamma=120.00
Fractional positions:
Ir (0.175, 0.349, 0.250)
Ir (0.175, 0.825, 0.250)
Ir (0.349, 0.175, 0.750)
Ir (0.651, 0.825, 0.250)
Ir (0.825, 0.175, 0.750)
Ir (0.825, 0.651, 0.750)
Cl (0.333, 0.667, 0.750)
Cl (0.667, 0.333, 0.250)

Total magnetic moment, μB/f.u.: 0.00
Uncorrected energy, eV/atom: -6.040
Energy above the most stable polymorph in this dataset, meV/atom: 599
Energy relative to the elements, uncorrected, meV per atom: 1067



(15)
Here is a relaxed BeRu2 crystal from the Alexandria database. Energies are from PBE-GGA.

Unit cell a=4.975 b=4.975 c=8.164 alpha=90.00 beta=90.00 gamma=120.00
Fractional positions:
Be (0.333, 0.667, 0.103)
Be (0.333, 0.667, 0.397)
Be (0.667, 0.333, 0.603)
Be (0.667, 0.333, 0.897)
Ru (0.000, 0.000, 0.000)
Ru (0.000, 0.000, 0.500)
Ru (0.175, 0.349, 0.750)
Ru (0.175, 0.825, 0.750)
Ru (0.349, 0.175, 0.250)
Ru (0.651, 0.825, 0.750)
Ru (0.825, 0.175, 0.250)
Ru (0.825, 0.651, 0.250)

Total magnetic moment, μB/f.u.: 0.00
Formation enthalpy at 0 K, meV/atom: 584
Uncorrected energy, eV/atom: -6.842



(16)
Here is a relaxed Pr2Ga3BiPd4 crystal from the Alexandria database. Energies are from PBE-GGA.

Unit cell a=4.345 b=4.345 c=11.078 alpha=90.00 beta=90.00 gamma=90.00
Fractional positions:
Pr (0.000, 0.500, 0.234)
Pr (0.500, 0.000, 0.766)
Ga (0.000, 0.500, 0.880)
Ga (0.500, 0.000, 0.120)
Ga (0.500, 0.500, 0.500)
Bi (0.000, 0.000, 0.500)
Pd (0.000, 0.000, 0.000)
Pd (0.000, 0.500, 0.657)
Pd (0.500, 0.000, 0.343)
Pd (0.500, 0.500, 0.000)

Total magnetic moment, μB/f.u.: 0.00
Formation enthalpy at 0 K, meV/atom: -734
Uncorrected energy, eV/atom: -5.063



(17)
Here is a relaxed Be2SiBr crystal from the Alexandria database. Energies are from PBE-GGA.

Unit cell a=3.430 b=3.430 c=7.177 alpha=90.00 beta=90.00 gamma=111.52
Fractional positions:
Be (0.000, 0.000, 0.000)
Be (0.500, 0.500, 0.178)
Si (0.500, 0.500, 0.871)
Br (0.000, 0.000, 0.369)

Total magnetic moment, μB/f.u.: 0.00
Uncorrected energy, eV/atom: -3.278
Energy above the most stable polymorph in this dataset, meV/atom: 67
Energy relative to the elements, uncorrected, meV per atom: 359



(18)
Here is a relaxed CaTa3 crystal from the Alexandria database. Energies are from PBE-GGA.

Unit cell a=2.856 b=2.856 c=10.249 alpha=90.00 beta=90.00 gamma=90.00
Fractional positions:
Ca (0.000, 0.000, 0.000)
Ta (0.000, 0.000, 0.500)
Ta (0.500, 0.500, 0.278)
Ta (0.500, 0.500, 0.722)

Total magnetic moment, μB/f.u.: 0.00
Formation enthalpy at 0 K, meV/atom: 478
Uncorrected energy, eV/atom: -8.912



(19)
Here is a relaxed KRbPSe2 crystal from the Alexandria database. Energies are from PBE-GGA.

Unit cell a=7.856 b=5.061 c=9.688 alpha=90.00 beta=102.36 gamma=90.00
Fractional positions:
K (0.000, 0.042, 0.250)
K (0.000, 0.958, 0.750)
Rb (0.500, 0.285, 0.750)
Rb (0.500, 0.715, 0.250)
P (0.000, 0.500, 0.000)
P (0.000, 0.500, 0.500)
Se (0.255, 0.239, 0.027)
Se (0.255, 0.761, 0.527)
Se (0.745, 0.239, 0.473)
Se (0.745, 0.761, 0.973)

Total magnetic moment, μB/f.u.: 2.13
Uncorrected energy, eV/atom: -3.268
Energy relative to the elements, uncorrected, meV per atom: -379



(20)
Here is a relaxed Rb2BaCdBr6 crystal from the Alexandria database. Energies are from PBE-GGA.

Unit cell a=8.386 b=8.386 c=8.386 alpha=60.00 beta=60.00 gamma=60.00
Fractional positions:
Rb (0.250, 0.250, 0.250)
Rb (0.750, 0.750, 0.750)
Ba (0.000, 0.000, 0.000)
Cd (0.500, 0.500, 0.500)
Br (0.265, 0.265, 0.735)
Br (0.265, 0.735, 0.265)
Br (0.265, 0.735, 0.735)
Br (0.735, 0.265, 0.265)
Br (0.735, 0.265, 0.735)
Br (0.735, 0.735, 0.265)

Total magnetic moment, μB/f.u.: 0.00
Uncorrected energy, eV/atom: -3.034
Energy above the most stable polymorph in this dataset, meV/atom: 46
Energy relative to the elements, uncorrected, meV per atom: -1553



(21)
Here is a relaxed Na2HoErTe4 crystal from the Alexandria database. Energies are from PBE-GGA.

Unit cell a=7.628 b=4.407 c=7.980 alpha=90.00 beta=108.57 gamma=90.00
Fractional positions:
Na (0.000, 0.000, 0.000)
Na (0.500, 0.500, 0.000)
Ho (0.000, 0.500, 0.500)
Er (0.500, 0.000, 0.500)
Te (0.244, 0.000, 0.731)
Te (0.257, 0.500, 0.270)
Te (0.743, 0.500, 0.730)
Te (0.756, 0.000, 0.269)

Total magnetic moment, μB/f.u.: 0.00
Uncorrected energy, eV/atom: -4.350
Energy relative to the elements, uncorrected, meV per atom: -1307



(22)
Here is a relaxed CaLaPtRh crystal from the Alexandria database. Energies are from PBE-GGA.

Unit cell a=4.260 b=5.894 c=5.894 alpha=39.62 beta=90.00 gamma=90.00
Fractional positions:
Ca (0.000, 0.000, 0.000)
La (0.500, 0.719, 0.719)
Pt (0.500, 0.442, 0.442)
Rh (0.000, 0.277, 0.277)

Total magnetic moment, μB/f.u.: 0.00
Formation enthalpy at 0 K, meV/atom: -828
Uncorrected energy, eV/atom: -5.908



(23)
Here is a relaxed Zr12SnHg3 crystal from the Alexandria database. Energies are from PBE-GGA.

Unit cell a=4.455 b=4.455 c=17.760 alpha=90.00 beta=90.00 gamma=90.00
Fractional positions:
Zr (0.000, 0.000, 0.000)
Zr (0.000, 0.000, 0.249)
Zr (0.000, 0.000, 0.500)
Zr (0.000, 0.000, 0.751)
Zr (0.000, 0.500, 0.125)
Zr (0.000, 0.500, 0.376)
Zr (0.000, 0.500, 0.624)
Zr (0.000, 0.500, 0.875)
Zr (0.500, 0.000, 0.125)
Zr (0.500, 0.000, 0.376)
Zr (0.500, 0.000, 0.624)
Zr (0.500, 0.000, 0.875)
Sn (0.500, 0.500, 0.500)
Hg (0.500, 0.500, 0.000)
Hg (0.500, 0.500, 0.250)
Hg (0.500, 0.500, 0.750)

Total magnetic moment, μB/f.u.: 0.00
Formation enthalpy at 0 K, meV/atom: -199
Uncorrected energy, eV/atom: -6.916



(24)
Here is a relaxed MnGe2Pt crystal from the Alexandria database. Energies are from PBE-GGA.

Unit cell a=4.427 b=4.427 c=4.427 alpha=60.00 beta=60.00 gamma=60.00
Fractional positions:
Mn (0.000, 0.000, 0.000)
Ge (0.250, 0.250, 0.250)
Ge (0.750, 0.750, 0.750)
Pt (0.500, 0.500, 0.500)

Total magnetic moment, μB/f.u.: 2.86
Formation enthalpy at 0 K, meV/atom: -8
Uncorrected energy, eV/atom: -6.119
Energy above the most stable polymorph in this dataset, meV/atom: 0